# 1
Computed, not measured: crystalline ZnO at its relaxed geometry at the PBE-GGA level of DFT.

Unit cell a=3.2776 b=3.2776 c=16.0074 alpha=90.00 beta=90.00 gamma=120.00
Closest atoms and distances in Å follow each position.
Fractional positions:
Zn (0.0000, 0.0000, 0.9999)  4 O 2.00
Zn (0.0000, 0.0000, 0.4999)  4 O 2.00
Zn (0.3333, 0.6667, 0.8334)  4 O 2.00-2.01
Zn (0.6667, 0.3333, 0.3334)  4 O 2.00-2.01
Zn (0.3333, 0.6667, 0.1667)  4 O 2.00-2.01
Zn (0.6667, 0.3333, 0.6667)  4 O 2.00-2.01
O (0.0000, 0.0000, 0.8747)  4 Zn 2.00
O (0.0000, 0.0000, 0.3747)  4 Zn 2.00
O (0.3333, 0.6667, 0.7080)  4 Zn 2.00-2.01
O (0.6667, 0.3333, 0.2080)  4 Zn 2.00-2.01
O (0.3333, 0.6667, 0.0412)  4 Zn 2.00-2.01
O (0.6667, 0.3333, 0.5412)  4 Zn 2.00-2.01

Output
Symmetry: P6_3mc
Final energy, eV per cell: -54.5
Total moment, μB per cell: 0.0


# 2
Computed, not measured: crystalline Pr7Sm4In at its relaxed geometry at the PBE-GGA level of DFT.

Unit cell a=6.0792 b=6.8793 c=11.9689 alpha=81.93 beta=75.29 gamma=63.78
Closest atoms and distances in Å follow each position.
Fractional positions:
Pr (0.7982, 0.4849, 0.9187)  1 In 3.11, 2 Pr 3.34-3.41
Pr (0.2018, 0.5151, 0.0813)  1 In 3.11, 2 Pr 3.34-3.41
Pr (0.0972, 0.0798, 0.7258)  1 In 3.20, 2 Pr 3.41-3.44
Pr (0.9028, 0.9202, 0.2742)  1 In 3.20, 2 Pr 3.41-3.44
Pr (0.3679, 0.7858, 0.4783)  2 Pr 3.44-3.55, 5 Sm 3.45-3.77
Pr (0.5000, 0.0000, 0.0000)  2 In 3.04, 2 Pr 3.34
Pr (0.6321, 0.2142, 0.5217)  2 Pr 3.44-3.55, 5 Sm 3.45-3.77
Sm (0.6377, 0.4968, 0.2278)  6 Pr 3.45-3.77, 2 Sm 3.61
Sm (0.3623, 0.5032, 0.7722)  6 Pr 3.45-3.77, 2 Sm 3.61
Sm (0.8466, 0.6773, 0.6296)  5 Pr 3.50-3.82, 3 Sm 3.61-3.77
Sm (0.1534, 0.3227, 0.3704)  5 Pr 3.50-3.82, 3 Sm 3.61-3.77
In (0.0000, 0.0000, 0.0000)  6 Pr 3.04-3.20

Output
ΔE_f, eV/atom: 0.152
Symmetry: C2/m
Offset from the most stable computed form, meV/atom: 31
Total moment, μB per cell: 0.0


# 3
Computed, not measured: crystalline Ac2BeGa4Au3 at its relaxed geometry at the PBE-GGA level of DFT.

Unit cell a=4.4900 b=4.4900 c=10.6920 alpha=90.00 beta=90.00 gamma=90.00
Closest atoms and distances in Å follow each position.
Fractional positions:
Ac (0.5000, 0.0000, 0.2575)  2 Be 3.43, 6 Au 3.43-3.44, 8 Ga 3.43-3.55
Ac (0.0000, 0.5000, 0.7425)  2 Be 3.43, 6 Au 3.43-3.44, 8 Ga 3.43-3.55
Be (0.5000, 0.5000, 0.5000)  4 Ga 2.59
Ga (0.5000, 0.5000, 0.0000)  4 Au 2.67
Ga (0.0000, 0.0000, 0.0000)  4 Au 2.67
Ga (0.5000, 0.0000, 0.6204)  2 Be 2.59, 3 Au 2.59-2.62
Ga (0.0000, 0.5000, 0.3796)  2 Be 2.59, 3 Au 2.59-2.62
Au (0.0000, 0.0000, 0.5000)  4 Ga 2.59
Au (0.5000, 0.0000, 0.8653)  5 Ga 2.62-2.67
Au (0.0000, 0.5000, 0.1347)  5 Ga 2.62-2.67

Output
ΔE_f, eV/atom: -0.557
Symmetry: P-4m2
Total moment, μB per cell: 0.0


# 4
Computed, not measured: crystalline Nd2PaGe3Rh4 at its relaxed geometry at the PBE-GGA level of DFT.

Unit cell a=4.2740 b=4.2740 c=10.9251 alpha=90.00 beta=90.00 gamma=90.00
Closest atoms and distances in Å follow each position.
Fractional positions:
Nd (0.5000, 0.0000, 0.2244)  4 Ge 3.22, 8 Rh 3.25-3.33
Nd (0.0000, 0.5000, 0.7756)  4 Ge 3.22, 8 Rh 3.25-3.33
Pa (0.5000, 0.5000, 0.5000)  4 Rh 2.68
Ge (0.0000, 0.0000, 0.5000)  4 Rh 2.68
Ge (0.5000, 0.0000, 0.8769)  5 Rh 2.49-2.53
Ge (0.0000, 0.5000, 0.1231)  5 Rh 2.49-2.53
Rh (0.5000, 0.5000, 0.0000)  4 Ge 2.53
Rh (0.0000, 0.0000, 0.0000)  4 Ge 2.53
Rh (0.5000, 0.0000, 0.6485)  3 Ge 2.49-2.68, 2 Pa 2.68
Rh (0.0000, 0.5000, 0.3515)  3 Ge 2.49-2.68, 2 Pa 2.68

Output
ΔE_f, eV/atom: -0.853
Symmetry: P-4m2
Total moment, μB per cell: 0.0


# 5
Computed, not measured: crystalline LiZn2Cl at its relaxed geometry at the PBE-GGA level of DFT.

Unit cell a=4.8909 b=4.8909 c=4.8909 alpha=60.00 beta=60.00 gamma=60.00
Closest atoms and distances in Å follow each position.
Fractional positions:
Cl (0.5000, 0.5000, 0.5000)  4 Li 3.00, 4 Zn 3.00
Li (0.7500, 0.7500, 0.7500)  4 Cl 3.00, 4 Zn 3.00
Zn (0.0000, 0.0000, 0.0000)  4 Zn 3.00, 4 Li 3.00
Zn (0.2500, 0.2500, 0.2500)  4 Cl 3.00, 4 Zn 3.00

Output
Symmetry: F-43m
Offset from the most stable computed form, meV/atom: 356
Total moment, μB per cell: 0.0


# 6
Computed, not measured: crystalline Sc3Zn2Au4 at its relaxed geometry at the PBE-GGA level of DFT.

Unit cell a=4.7410 b=4.8281 c=9.2179 alpha=66.65 beta=75.10 gamma=60.60
Closest atoms and distances in Å follow each position.
Fractional positions:
Sc (0.3698, 0.5172, 0.7433)  6 Au 2.83-3.08, 4 Zn 3.03-3.12
Sc (0.0000, 0.0000, 0.0000)  8 Au 2.84-2.87
Sc (0.6302, 0.4828, 0.2567)  6 Au 2.83-3.08, 4 Zn 3.03-3.12
Zn (0.2746, 0.0458, 0.4050)  5 Au 2.68-2.86, 2 Zn 2.87
Zn (0.7254, 0.9542, 0.5950)  5 Au 2.68-2.86, 2 Zn 2.87
Au (0.3141, 0.2880, 0.0838)  1 Zn 2.71, 4 Sc 2.84-2.87
Au (0.6859, 0.7120, 0.9162)  1 Zn 2.71, 4 Sc 2.84-2.87
Au (0.0479, 0.2413, 0.6628)  4 Zn 2.68-2.86, 4 Sc 2.83-2.90
Au (0.9521, 0.7587, 0.3372)  4 Zn 2.68-2.86, 4 Sc 2.83-2.90

Output
ΔE_f, eV/atom: -0.643
Symmetry: C2/m
Total moment, μB per cell: 0.0


# 7
Computed, not measured: crystalline Hf2Nb3As2 at its relaxed geometry at the PBE-GGA level of DFT.

Unit cell a=3.6512 b=5.3947 c=7.5396 alpha=110.16 beta=90.00 gamma=109.78
Closest atoms and distances in Å follow each position.
Fractional positions:
Hf (0.8729, 0.7458, 0.2037)  4 As 2.78-3.02, 2 Nb 2.97
Hf (0.1271, 0.2542, 0.7963)  4 As 2.78-3.02, 2 Nb 2.97
Nb (0.5000, 0.0000, 0.0000)  4 As 2.62
Nb (0.6247, 0.2493, 0.4408)  3 As 2.65-2.67
Nb (0.3753, 0.7507, 0.5592)  3 As 2.65-2.67
As (0.8303, 0.6607, 0.7854)  5 Nb 2.62-2.67, 2 Hf 2.78
As (0.1697, 0.3393, 0.2146)  5 Nb 2.62-2.67, 2 Hf 2.78

Output
ΔE_f, eV/atom: -0.567
Symmetry: C2/m
Total moment, μB per cell: 0.0


# 8
Computed, not measured: crystalline NdHoSnPd at its relaxed geometry at the PBE-GGA level of DFT.

Unit cell a=5.2356 b=5.2356 c=5.2356 alpha=60.00 beta=60.00 gamma=60.00
Closest atoms and distances in Å follow each position.
Fractional positions:
Nd (0.0000, 0.0000, 0.0000)  4 Pd 3.21, 4 Sn 3.21
Ho (0.5000, 0.5000, 0.5000)  4 Sn 3.21, 4 Pd 3.21
Pd (0.7500, 0.7500, 0.7500)  4 Nd 3.21, 4 Ho 3.21
Sn (0.2500, 0.2500, 0.2500)  4 Ho 3.21, 4 Nd 3.21

Output
ΔE_f, eV/atom: -0.702
Symmetry: F-43m
Total moment, μB per cell: 0.0


# 9
Computed, not measured: crystalline Sr2BeFe at its relaxed geometry at the PBE-GGA level of DFT.

Unit cell a=5.7573 b=5.7573 c=5.7573 alpha=132.56 beta=132.56 gamma=69.35
Closest atoms and distances in Å follow each position.
Fractional positions:
Sr (0.0000, 0.0000, 0.0000)  4 Be 3.28, 4 Sr 3.31, 4 Fe 3.31
Sr (0.2500, 0.7500, 0.5000)  4 Fe 3.28, 4 Be 3.31, 4 Sr 3.31
Fe (0.7500, 0.2500, 0.5000)  8 Sr 3.28-3.31, 4 Be 3.31
Be (0.5000, 0.5000, 0.0000)  8 Sr 3.28-3.31, 4 Fe 3.31

Output
ΔE_f, eV/atom: 0.860
Symmetry: I-4m2
Total moment, μB per cell: 2.1


# 10
Computed, not measured: crystalline TiAgSe2 at its relaxed geometry at the PBE-GGA level of DFT.

Unit cell a=8.4646 b=8.4646 c=8.4646 alpha=24.19 beta=24.19 gamma=24.19
Closest atoms and distances in Å follow each position.
Fractional positions:
Se (0.8962, 0.8962, 0.8962)  1 Ag 2.56, 3 Ti 2.57
Se (0.1038, 0.1038, 0.1038)  1 Ag 2.56, 3 Ti 2.57
Ag (0.0000, 0.0000, 0.0000)  2 Se 2.56
Ti (0.5000, 0.5000, 0.5000)  6 Se 2.57

Output
Symmetry: R-3m
Final energy, eV per cell: -20.6
Total moment, μB per cell: 0.0


# 11
Computed, not measured: crystalline SrTlSbTe2 at its relaxed geometry at the PBE-GGA level of DFT.

Unit cell a=6.1863 b=6.1863 c=6.0928 alpha=90.00 beta=90.00 gamma=90.00
Closest atoms and distances in Å follow each position.
Fractional positions:
Sb (0.0000, 0.0000, 0.5000)  2 Sr 3.05
Tl (0.5000, 0.5000, 0.5000)  8 Te 4.34, 4 Sb 4.37
Te (0.0000, 0.5000, 0.0000)  2 Sr 3.09
Te (0.5000, 0.0000, 0.0000)  2 Sr 3.09
Sr (0.0000, 0.0000, 0.0000)  2 Sb 3.05, 4 Te 3.09

Output
Symmetry: P4/mmm
Offset from the most stable computed form, meV/atom: 157
Total moment, μB per cell: 0.0


# 12
Computed, not measured: crystalline TbAl4Pd2Pt at its relaxed geometry at the PBE-GGA level of DFT.

Unit cell a=4.2869 b=4.2869 c=9.1384 alpha=76.43 beta=76.43 gamma=60.00
Closest atoms and distances in Å follow each position.
Fractional positions:
Tb (0.0000, 0.0000, 0.0000)  6 Al 3.07
Al (0.4023, 0.4023, 0.7932)  3 Pd 2.54, 1 Pt 2.58
Al (0.8668, 0.8668, 0.3995)  3 Pt 2.63, 4 Pd 2.72-2.88
Al (0.1332, 0.1332, 0.6005)  3 Pt 2.63, 4 Pd 2.72-2.88
Al (0.5977, 0.5977, 0.2068)  3 Pd 2.54, 1 Pt 2.58
Pd (0.7575, 0.7575, 0.7274)  6 Al 2.54-2.72
Pd (0.2425, 0.2425, 0.2726)  6 Al 2.54-2.72
Pt (0.5000, 0.5000, 0.5000)  8 Al 2.58-2.63

Output
ΔE_f, eV/atom: -0.800
Symmetry: R-3m
Total moment, μB per cell: 0.0


# 13
Computed, not measured: crystalline TlAgPb2 at its relaxed geometry at the PBE-GGA level of DFT.

Unit cell a=11.1579 b=11.1579 c=11.1579 alpha=17.67 beta=17.67 gamma=17.67
Closest atoms and distances in Å follow each position.
Fractional positions:
Pb (0.0100, 0.0100, 0.0100)  3 Ag 3.12, 6 Pb 3.43
Pb (0.4900, 0.4900, 0.4900)  3 Ag 3.12, 6 Pb 3.43
Tl (0.2500, 0.2500, 0.2500)  6 Tl 3.43, 6 Pb 3.66
Ag (0.7500, 0.7500, 0.7500)  6 Pb 3.12, 6 Ag 3.43

Output
ΔE_f, eV/atom: 0.068
Symmetry: R-3m
Offset from the most stable computed form, meV/atom: 45
Total moment, μB per cell: 0.0


# 14
Computed, not measured: crystalline AgHgRh2 at its relaxed geometry at the PBE-GGA level of DFT.

Unit cell a=4.8705 b=4.8705 c=5.0483 alpha=80.07 beta=80.07 gamma=34.54
Closest atoms and distances in Å follow each position.
Fractional positions:
Ag (0.4965, 0.4965, 0.4978)  3 Hg 2.75-2.87, 7 Rh 2.81-3.01, 2 Ag 2.89
Hg (0.2539, 0.2539, 0.2562)  3 Ag 2.75-2.87, 7 Rh 2.84-2.98, 2 Hg 2.89
Rh (0.0065, 0.0065, 0.9710)  5 Rh 2.67-2.89, 2 Ag 2.81, 3 Hg 2.91-2.93
Rh (0.7431, 0.7431, 0.7749)  5 Rh 2.67-2.89, 4 Hg 2.84-2.98, 3 Ag 2.89-2.90

Output
ΔE_f, eV/atom: 0.223
Symmetry: Cm
Total moment, μB per cell: 0.0


# 15
Computed, not measured: crystalline TaCd2RuO at its relaxed geometry at the PBE-GGA level of DFT.

Unit cell a=4.8784 b=3.7170 c=4.8784 alpha=90.00 beta=90.00 gamma=90.00
Closest atoms and distances in Å follow each position.
Fractional positions:
Ru (0.0000, 0.5000, 0.0000)  2 O 1.86
Cd (0.0000, 0.0000, 0.5000)  2 O 2.44
Cd (0.5000, 0.0000, 0.0000)  2 O 2.44
O (0.0000, 0.0000, 0.0000)  2 Ru 1.86
Ta (0.5000, 0.5000, 0.5000)  8 Cd 3.07

Output
Symmetry: P4/mmm
Final energy, eV per cell: -25.7
Total moment, μB per cell: 0.0


# 16
Computed, not measured: crystalline Sr4TlPd3 at its relaxed geometry at the PBE-GGA level of DFT.

Unit cell a=4.3777 b=4.7283 c=11.6105 alpha=90.00 beta=90.00 gamma=90.00
Closest atoms and distances in Å follow each position.
Fractional positions:
Sr (0.5000, 0.5000, 0.3753)  6 Pd 3.17-3.29
Sr (0.0000, 0.5000, 0.8434)  5 Pd 3.15-3.37, 2 Tl 3.37
Sr (0.0000, 0.0000, 0.1508)  3 Pd 3.26-3.38, 4 Tl 3.37
Sr (0.5000, 0.0000, 0.6333)  7 Pd 3.21-3.43
Tl (0.5000, 0.5000, 0.0645)  2 Pd 2.84
Pd (0.0000, 0.5000, 0.5723)  2 Pd 2.87, 3 Sr 3.15-3.17
Pd (0.0000, 0.0000, 0.4316)  2 Pd 2.87, 2 Sr 3.21
Pd (0.5000, 0.0000, 0.9289)  2 Tl 2.84

Output
ΔE_f, eV/atom: -0.528
Symmetry: Pmm2
Total moment, μB per cell: 0.0


# 17
Computed, not measured: crystalline Pm2NdSnN4 at its relaxed geometry at the PBE-GGA level of DFT.

Unit cell a=3.6396 b=6.2844 c=12.3657 alpha=90.00 beta=90.00 gamma=106.83
Closest atoms and distances in Å follow each position.
Fractional positions:
Pm (0.3708, 0.7417, 0.5363)  3 N 2.35-2.43
Pm (0.6292, 0.2583, 0.0363)  3 N 2.35-2.43
Pm (0.6292, 0.2583, 0.4637)  3 N 2.35-2.43
Pm (0.3708, 0.7417, 0.9637)  3 N 2.35-2.43
Nd (0.1146, 0.2293, 0.7500)  6 N 2.71-2.74
Nd (0.8854, 0.7707, 0.2500)  6 N 2.71-2.74
Sn (0.8508, 0.7015, 0.7500)  4 N 2.11-2.16
Sn (0.1492, 0.2985, 0.2500)  4 N 2.11-2.16
N (0.2709, 0.5419, 0.1271)  1 Sn 2.11, 1 Pm 2.35
N (0.7291, 0.4581, 0.6271)  1 Sn 2.11, 1 Pm 2.35
N (0.7291, 0.4581, 0.8729)  1 Sn 2.11, 1 Pm 2.35
N (0.2709, 0.5419, 0.3729)  1 Sn 2.11, 1 Pm 2.35
N (0.0000, 0.0000, 0.5000)  4 Pm 2.43
N (0.0000, 0.0000, 0.0000)  4 Pm 2.43
N (0.4473, 0.8946, 0.7500)  2 Sn 2.16
N (0.5527, 0.1054, 0.2500)  2 Sn 2.16

Output
Symmetry: Cmcm
Final energy, eV per cell: -115.6
Total moment, μB per cell: 0.0


# 18
Computed, not measured: crystalline CoNi2Hg at its relaxed geometry at the PBE-GGA level of DFT.

Unit cell a=2.7894 b=2.7894 c=6.9318 alpha=90.00 beta=90.00 gamma=90.00
Closest atoms and distances in Å follow each position.
Fractional positions:
Co (0.5000, 0.5000, 0.2500)  8 Ni 2.45
Hg (0.5000, 0.5000, 0.7500)  4 Hg 2.79, 8 Ni 2.81
Ni (0.0000, 0.0000, 0.0396)  4 Co 2.45
Ni (0.0000, 0.0000, 0.4604)  4 Co 2.45

Output
ΔE_f, eV/atom: 0.221
Symmetry: P4/mmm
Total moment, μB per cell: 2.7


# 19
Computed, not measured: crystalline Al2AsSe at its relaxed geometry at the PBE-GGA level of DFT.

Unit cell a=6.4906 b=6.4906 c=3.6498 alpha=89.99 beta=89.99 gamma=31.45
Closest atoms and distances in Å follow each position.
Fractional positions:
As (0.5349, 0.5349, 0.3759)  6 Al 2.62-2.71
Al (0.9822, 0.9822, 0.8760)  1 Se 2.49, 4 As 2.62
Al (0.1999, 0.1999, 0.3738)  2 As 2.71, 4 Se 2.74
Se (0.7830, 0.7830, 0.8742)  5 Al 2.49-2.74

Output
Symmetry: Cm
Offset from the most stable computed form, meV/atom: 105
Total moment, μB per cell: 0.0